(1)
First-principles (PBE) data for an optimized crystal structure of PtCl4, as listed in OQMD.

a = 10.9247 Å, b = 11.4755 Å, c = 7.1189 Å
α = 90.00°, β = 90.00°, γ = 90.00°
Space group Fdd2 (No. 43)
Symmetry-distinct sites (fractional):
Pt1 0.0000 0.0000 0.0000 (multiplicity 8)
Cl1 0.1139 0.0873 0.2655 (multiplicity 16)
Cl2 0.1187 0.0863 0.7777 (multiplicity 16)

Summary:
Crystal system ... orthorhombic
Energy ... -118.0 eV/cell

=====

(2)
First-principles (PBE) data for an optimized crystal structure of HoScSi, as listed in OQMD.

a = 6.6187 Å, b = 6.6187 Å, c = 6.6187 Å
α = 90.00°, β = 90.00°, γ = 90.00°
Space group F-43m (No. 216)
Symmetry-distinct sites (fractional):
Ho1 0.0000 0.0000 0.0000 (multiplicity 4)
Sc1 0.0000 0.0000 0.5000 (multiplicity 4)
Si1 0.2500 0.2500 0.2500 (multiplicity 4)

Summary:
Offset from the most stable computed form ... 0.00 kJ/mol of atoms
Crystal system ... cubic

=====

(3)
First-principles (PBE) data for an optimized crystal structure of Mg2FePd, as listed in OQMD.

a = 6.3422 Å, b = 6.3422 Å, c = 6.3422 Å
α = 90.00°, β = 90.00°, γ = 90.00°
Space group F-43m (No. 216)
Symmetry-distinct sites (fractional):
Mg1 0.0000 0.0000 0.0000 (multiplicity 4)
Mg2 0.2500 0.2500 0.2500 (multiplicity 4)
Fe1 0.2500 0.2500 0.7500 (multiplicity 4)
Pd1 0.0000 0.0000 0.5000 (multiplicity 4)

Summary:
Crystal system ... cubic
Energy ... -67.7 eV/cell

=====

(4)
First-principles (PBE) data for an optimized crystal structure of DyHgPt, as listed in OQMD.

a = 6.6567 Å, b = 6.6567 Å, c = 6.6567 Å
α = 90.00°, β = 90.00°, γ = 90.00°
Space group F-43m (No. 216)
Symmetry-distinct sites (fractional):
Dy1 0.0000 0.0000 0.0000 (multiplicity 4)
Hg1 0.0000 0.0000 0.5000 (multiplicity 4)
Pt1 0.2500 0.2500 0.2500 (multiplicity 4)

Summary:
Crystal system ... cubic
DFT formation energy ... -17.60 kcal/mol of atoms

=====

(5)
First-principles (PBE) data for an optimized crystal structure of Na2PaBr6, as listed in OQMD.

a = 6.9482 Å, b = 6.9482 Å, c = 13.0558 Å
α = 90.00°, β = 90.00°, γ = 90.00°
Space group P4_2/mnm (No. 136)
Symmetry-distinct sites (fractional):
Na1 0.0000 0.0000 0.1660 (multiplicity 4)
Pa1 0.0000 0.0000 0.5000 (multiplicity 2)
Br1 0.1953 0.1953 0.3425 (multiplicity 8)
Br2 0.2131 0.2131 0.0000 (multiplicity 4)

Summary:
Crystal system ... tetragonal
Energy ... -71.6 eV/cell

=====

(6)
First-principles (PBE) data for an optimized crystal structure of NaPrNO, as listed in OQMD.

a = 6.8583 Å, b = 8.4835 Å, c = 4.9035 Å
α = 90.00°, β = 90.00°, γ = 90.00°
Space group Pca2_1 (No. 29)
Symmetry-distinct sites (fractional):
Na1 0.0919 0.0958 0.0000 (multiplicity 4)
Pr1 0.0492 0.6485 0.9982 (multiplicity 4)
N1 0.1035 0.6136 0.4983 (multiplicity 4)
O1 0.0855 0.1227 0.4996 (multiplicity 4)

Summary:
Offset from the most stable computed form ... 9.92 kJ/mol of atoms
Crystal system ... orthorhombic

=====

| no. | calculated volume (Å³ per cell) | total magnetization (μB per formula unit) |
| --- | --- | --- |
| 1 | 892.5 | 0.002 |
| 2 | 289.9 | 0.005 |
| 3 | 255.1 | 2.993 |
| 4 | 295.0 | 0.000 |
| 5 | 630.3 | 1.039 |
| 6 | 285.3 | 0.987 |